[1]
VASP calculation (PBE-GGA) on crystalline CuHg2Cl at its relaxed geometry.

Unit cell a=6.581 b=6.581 c=6.581 alpha=144.62 beta=144.62 gamma=50.90
Positions (direct):
1 Hg 0.000 0.000 0.000
2 Hg 0.500 0.500 0.000
3 Cu 0.750 0.250 0.500
4 Cl 0.250 0.750 0.500

Summary:
The symmetry is I4/mmm (139). The total DFT energy (no corrections) is -1.499 eV per atom. Its uncorrected formation energy is 137.9 meV per atom. For the total magnetic moment, the calculation gives 0.000 μB/f.u.

***

[2]
VASP calculation (PBE-GGA) on crystalline CuHg2Cl at its relaxed geometry.

Unit cell a=7.172 b=7.172 c=6.610 alpha=57.15 beta=57.15 gamma=90.00
Positions (direct):
1 Hg 0.662 0.125 0.250
2 Hg 0.088 0.625 0.250
3 Hg 0.375 0.338 0.750
4 Hg 0.875 0.912 0.750
5 Cu 0.000 0.000 0.000
6 Cu 0.750 0.250 0.500
7 Cl 0.500 0.500 0.000
8 Cl 0.250 0.750 0.500

Summary:
The symmetry is I-42d (122). The total DFT energy (no corrections) is -1.638 eV per atom. Its uncorrected formation energy is -1.0 meV per atom. For the total magnetic moment, the calculation gives 0.000 μB/f.u.

***

[3]
VASP calculation (PBE-GGA) on crystalline CuHg2Cl at its relaxed geometry.

Unit cell a=5.970 b=4.005 c=4.005 alpha=90.00 beta=90.00 gamma=90.00
Positions (direct):
1 Hg 0.000 0.000 0.000
2 Hg 0.000 0.500 0.500
3 Cu 0.500 0.000 0.500
4 Cl 0.500 0.500 0.000

Summary:
The symmetry is P4/mmm (123). The total DFT energy (no corrections) is -1.508 eV per atom. Its uncorrected formation energy is 128.6 meV per atom. For the total magnetic moment, the calculation gives 0.000 μB/f.u.

***

[4]
VASP calculation (PBE-GGA) on crystalline Cu2HgCl at its relaxed geometry.

Unit cell a=5.604 b=5.307 c=3.176 alpha=71.57 beta=91.84 gamma=122.52
Positions (direct):
1 Hg 0.000 0.500 0.500
2 Cu 0.000 0.000 0.000
3 Cu 0.500 0.000 0.500
4 Cl 0.500 0.500 0.000

Summary:
The symmetry is C2/m (12). The total DFT energy (no corrections) is -2.329 eV per atom. Its uncorrected formation energy is 255.9 meV per atom. For the total magnetic moment, the calculation gives 0.000 μB/f.u.

***

[5]
VASP calculation (PBE-GGA) on crystalline Cu2HgCl at its relaxed geometry.

Unit cell a=6.702 b=6.702 c=5.846 alpha=55.03 beta=55.03 gamma=90.00
Positions (direct):
1 Hg 0.000 0.000 0.000
2 Hg 0.750 0.250 0.500
3 Cu 0.594 0.125 0.250
4 Cu 0.156 0.625 0.250
5 Cu 0.375 0.406 0.750
6 Cu 0.875 0.844 0.750
7 Cl 0.500 0.500 0.000
8 Cl 0.250 0.750 0.500

Summary:
The symmetry is I-42d (122). The total DFT energy (no corrections) is -2.407 eV per atom. Its uncorrected formation energy is 178.7 meV per atom. For the total magnetic moment, the calculation gives 0.000 μB/f.u.

***

[6]
VASP calculation (PBE-GGA) on crystalline Cu2HgCl at its relaxed geometry.

Unit cell a=3.161 b=4.672 c=4.672 alpha=90.00 beta=90.00 gamma=90.00
Positions (direct):
1 Hg 0.500 0.500 0.000
2 Cu 0.000 0.000 0.000
3 Cu 0.000 0.500 0.500
4 Cl 0.500 0.000 0.500

Summary:
The symmetry is P4/mmm (123). The total DFT energy (no corrections) is -2.316 eV per atom. Its uncorrected formation energy is 269.2 meV per atom. For the total magnetic moment, the calculation gives 0.000 μB/f.u.

***

[7]
VASP calculation (PBE-GGA) on crystalline Cu2Hg2Cl7 at its relaxed geometry.

Unit cell a=6.634 b=8.274 c=11.945 alpha=90.00 beta=90.00 gamma=100.53
Last column: magnetic moment on the atom in μB.
Positions (direct):
1 Cu 0.830 0.670 0.913  0.34
2 Cu 0.170 0.330 0.087  0.34
3 Cu 0.830 0.170 0.587  0.34
4 Cu 0.170 0.830 0.413  0.34
5 Hg 0.680 0.856 0.201  0.00
6 Hg 0.320 0.644 0.701  0.00
7 Hg 0.320 0.144 0.799  0.00
8 Hg 0.680 0.356 0.299  0.00
9 Cl 0.000 0.000 0.500  0.13
10 Cl 0.000 0.500 0.000  0.13
11 Cl 0.314 0.131 0.010  0.03
12 Cl 0.686 0.369 0.510  0.03
13 Cl 0.686 0.869 0.990  0.03
14 Cl 0.314 0.631 0.490  0.03
15 Cl 0.062 0.304 0.720  0.04
16 Cl 0.062 0.804 0.780  0.04
17 Cl 0.938 0.196 0.220  0.04
18 Cl 0.938 0.696 0.280  0.04
19 Cl 0.568 0.009 0.693  0.03
20 Cl 0.568 0.509 0.807  0.03
21 Cl 0.432 0.491 0.193  0.03
22 Cl 0.432 0.991 0.307  0.03

Summary:
The symmetry is P2_1/c (14). The total DFT energy (no corrections) is -2.483 eV per atom. Its uncorrected formation energy is -507.8 meV per atom. For the total magnetic moment, the calculation gives 1.088 μB/f.u.

***

[8]
VASP calculation (PBE-GGA) on crystalline CuHgCl3 at its relaxed geometry.

Unit cell a=4.785 b=4.785 c=4.785 alpha=90.00 beta=90.00 gamma=90.00
Positions (direct):
1 Hg 0.500 0.500 0.500
2 Cu 0.000 0.000 0.000
3 Cl 0.000 0.500 0.000
4 Cl 0.000 0.000 0.500
5 Cl 0.500 0.000 0.000

Summary:
The symmetry is Pm-3m (221). The total DFT energy (no corrections) is -2.252 eV per atom. Its uncorrected formation energy is -264.3 meV per atom. For the total magnetic moment, the calculation gives 0.000 μB/f.u.

***

- total magnetic moment of number 6 (Cu2HgCl)?
  0.000 μB/f.u.